Below is crystalline Sr2CaCu2Bi2O8 at its relaxed geometry, with properties calculated at the GGA-PBEsol level.

Cell lengths 15.601, 15.601, 15.601 Å; angles 166.39, 166.39, 19.29 degrees
Element x y z (fractional)
Sr  0.111  0.111  0.000
Sr  0.889  0.889  0.000
Ca  0.000  0.000  0.000
Cu  0.450  0.450  0.000
Cu  0.550  0.550  0.000
Bi  0.298  0.298  0.000
Bi  0.702  0.702  0.000
O  0.051  0.551  0.500
O  0.200  0.200  0.000
O  0.366  0.366  0.000
O  0.449  0.949  0.500
O  0.551  0.051  0.500
O  0.634  0.634  0.000
O  0.800  0.800  0.000
O  0.949  0.449  0.500

Properties
Its relative energy among the computed polymorphs is 45 meV per atom. Its uncorrected formation energy is -1.690 eV/atom. The value obtained for the total energy is -90.40 eV/cell.

Below is crystalline YTlCd2 at its relaxed geometry, with properties calculated at the GGA-PBEsol level.

Cell lengths 10.248, 10.248, 10.248 Å; angles 19.26, 19.26, 19.26 degrees
Element x y z (fractional)
Y  0.000  0.000  0.000
Tl  0.500  0.500  0.500
Cd  0.250  0.250  0.250
Cd  0.750  0.750  0.750

Properties
Its relative energy among the computed polymorphs is 287 meV per atom. The energy of formation from the pure elements comes out at -0.04 eV/atom. The value obtained for the total energy is -11.99 eV/cell.

Below is crystalline Tl2OsAu at its relaxed geometry, with properties calculated at the GGA-PBEsol level.

Cell lengths 2.982, 2.982, 9.248 Å; angles 90.00, 90.00, 90.00 degrees
Element x y z (fractional)
Tl  0.000  0.000  0.000
Tl  0.500  0.500  0.324
Os  0.500  0.500  0.774
Au  0.000  0.000  0.584

Properties
Its relative energy among the computed polymorphs is 100 meV per atom. The energy of formation from the pure elements comes out at 0.69 eV/atom. The value obtained for the total energy is -18.65 eV/cell.

Below is crystalline YZrTa3 at its relaxed geometry, with properties calculated at the GGA-PBEsol level.

Cell lengths 4.831, 4.831, 4.831 Å; angles 90.00, 90.00, 90.00 degrees
Element x y z (fractional)
Y  0.000  0.000  0.000
Zr  0.500  0.500  0.500
Ta  0.000  0.000  0.500
Ta  0.000  0.500  0.000
Ta  0.500  0.000  0.000

Properties
Its relative energy among the computed polymorphs is 588 meV per atom. The energy of formation from the pure elements comes out at 2.01 eV/atom. The value obtained for the total energy is -43.53 eV/cell.

Below is crystalline InRe2Au at its relaxed geometry, with properties calculated at the GGA-PBEsol level.

Cell lengths 3.856, 3.856, 4.378 Å; angles 90.00, 90.00, 90.00 degrees
Element x y z (fractional)
In  0.000  0.000  0.000
Re  0.000  0.500  0.500
Re  0.500  0.000  0.500
Au  0.500  0.500  0.000

Properties
The energy of formation from the pure elements comes out at 0.66 eV/atom. The value obtained for the total energy is -30.95 eV/cell.

Below is crystalline SiHI2O at its relaxed geometry, with properties calculated at the GGA-PBEsol level.

Cell lengths 5.639, 5.639, 2.867 Å; angles 90.00, 90.00, 90.00 degrees
Element x y z (fractional)
Si  0.000  0.000  0.000
H  0.500  0.500  0.500
I  0.000  0.500  0.500
I  0.500  0.000  0.500
O  0.500  0.500  0.000

Properties
The value obtained for the total energy is -15.30 eV/cell.

Below is crystalline Zn2CdPdI at its relaxed geometry, with properties calculated at the GGA-PBEsol level.

Cell lengths 4.811, 4.811, 5.262 Å; angles 90.00, 90.00, 90.00 degrees
Element x y z (fractional)
Zn  0.000  0.500  0.000
Zn  0.500  0.000  0.000
Cd  0.000  0.000  0.500
Pd  0.000  0.000  0.000
I  0.500  0.500  0.500

Properties
Its uncorrected formation energy is 0.040 eV/atom. The value obtained for the total energy is -11.89 eV/cell.

Below is crystalline MgNi2Os at its relaxed geometry, with properties calculated at the GGA-PBEsol level.

Cell lengths 2.645, 2.645, 7.290 Å; angles 90.00, 90.00, 90.00 degrees
Element x y z (fractional)
Mg  0.000  0.000  0.000
Ni  0.500  0.500  0.264
Ni  0.500  0.500  0.736
Os  0.000  0.000  0.500

Properties
The energy of formation from the pure elements comes out at 0.04 eV/atom. The value obtained for the total energy is -26.09 eV/cell.